[1]
CaSbPb2: relaxed, PBE.

Calculated values
The uncorrected formation energy is -246.8 meV/atom. The space group is P2/m (10).

Unit cell a=3.9291 b=5.9844 c=5.3063 alpha=90.00 beta=90.31 gamma=90.00
With the nearest neighbours (Å) after each atom.
Sites, in units of the cell vectors:
Ca 0.0000 0.0000 0.0000  4 Sb 3.29-3.31, 4 Pb 3.45
Sb 0.5000 0.0000 0.5000  4 Ca 3.29-3.31, 4 Pb 3.39
Pb 0.2696 0.5000 0.7453  4 Pb 3.18-3.44, 2 Sb 3.39, 2 Ca 3.45
Pb 0.7304 0.5000 0.2547  4 Pb 3.18-3.44, 2 Sb 3.39, 2 Ca 3.45


[2]
MgTe3Pb: relaxed, PBE.

Calculated values
The uncorrected formation energy is -9.8 meV/atom. As for the energy above the lowest structure with this stoichiometry: 0.0000 eV/atom. The space group is Pm-3m (221).

Unit cell a=5.4867 b=5.4867 c=5.4867 alpha=90.00 beta=90.00 gamma=90.00
With the nearest neighbours (Å) after each atom.
Sites, in units of the cell vectors:
Mg 0.0000 0.0000 0.0000  6 Te 2.74
Te 0.0000 0.0000 0.5000  2 Mg 2.74
Te 0.0000 0.5000 0.0000  2 Mg 2.74
Te 0.5000 0.0000 0.0000  2 Mg 2.74
Pb 0.5000 0.5000 0.5000  12 Te 3.88


[3]
BMoRu2: relaxed, PBE.

Calculated values
The space group is I-42d (122).

Unit cell a=6.0902 b=6.0902 c=6.0902 alpha=129.39 beta=129.39 gamma=74.39
With the nearest neighbours (Å) after each atom.
Sites, in units of the cell vectors:
B 0.0000 0.0000 0.0000  4 Ru 2.01
B 0.7500 0.2500 0.5000  4 Ru 2.01
Mo 0.2500 0.7500 0.5000  4 Ru 2.43
Mo 0.5000 0.5000 0.0000  4 Ru 2.43
Ru 0.0561 0.6250 0.9311  2 B 2.01
Ru 0.3750 0.3061 0.4311  2 B 2.01
Ru 0.6939 0.1250 0.0689  2 B 2.01
Ru 0.8750 0.9439 0.5689  2 B 2.01


[4]
Rb2In4Ga3Bi: relaxed, PBE.

Calculated values
The space group is P-4m2 (115).

Unit cell a=5.0044 b=5.0044 c=12.1278 alpha=90.00 beta=90.00 gamma=90.00
With the nearest neighbours (Å) after each atom.
Sites, in units of the cell vectors:
Rb 0.0000 0.5000 0.2445  8 In 3.78-3.88, 6 Ga 3.83-3.98, 2 Bi 3.98
Rb 0.5000 0.0000 0.7555  8 In 3.78-3.88, 6 Ga 3.83-3.98, 2 Bi 3.98
In 0.0000 0.0000 0.0000  4 Ga 2.91
In 0.0000 0.5000 0.6464  3 Ga 2.79-3.07, 2 Bi 3.07
In 0.5000 0.0000 0.3536  3 Ga 2.79-3.07, 2 Bi 3.07
In 0.5000 0.5000 0.0000  4 Ga 2.91
Ga 0.0000 0.5000 0.8768  5 In 2.79-2.91
Ga 0.5000 0.0000 0.1232  5 In 2.79-2.91
Ga 0.5000 0.5000 0.5000  4 In 3.07
Bi 0.0000 0.0000 0.5000  4 In 3.07


| no. | calculated total energy (eV/atom) |
| --- | --- |
| 1 | -3.63 |
| 2 | -2.96 |
| 3 | -8.32 |
| 4 | -2.70 |